Record 1
## NbV2HRu (GGA-PBE)

Data for a relaxed NbV2HRu crystal.

Output
ΔE to the lowest computed polymorph, eV per formula unit: 0.00
Space group: No. 123
Density, kg/m³: 7965
DFT total energy, Ry per atom: -0.6065

a = 4.2518 Å, b = 4.2518 Å, c = 3.4235 Å
α = 90.00°, β = 90.00°, γ = 90.00°
Closest atoms and distances in Å follow each position.
Fractional coordinates of all 5 atoms:
Ru: 0.0000 0.0000 0.5000  2 H 1.71
Nb: 0.5000 0.5000 0.5000  8 V 2.73, 4 Ru 3.01
H: 0.0000 0.0000 0.0000  2 Ru 1.71
V: 0.0000 0.5000 0.0000  2 H 2.13
V: 0.5000 0.0000 0.0000  2 H 2.13

***

Record 2
## NbVHRu2 (GGA-PBE)

Data for a relaxed NbVHRu2 crystal.

Output
ΔE to the lowest computed polymorph, eV per formula unit: 0.00
Space group: No. 123
Density, kg/m³: 9371
DFT total energy, Ry per atom: -0.6128

a = 3.9984 Å, b = 3.9984 Å, c = 3.8460 Å
α = 90.00°, β = 90.00°, γ = 90.00°
Closest atoms and distances in Å follow each position.
Fractional coordinates of all 5 atoms:
Ru: 0.0000 0.5000 0.0000  2 H 2.00
Ru: 0.5000 0.0000 0.0000  2 H 2.00
Nb: 0.5000 0.5000 0.5000  8 Ru 2.77, 4 V 2.83
H: 0.0000 0.0000 0.0000  2 V 1.92, 4 Ru 2.00
V: 0.0000 0.0000 0.5000  2 H 1.92

***

Record 3
## NbVHRu2 (GGA-PBE)

Data for a relaxed NbVHRu2 crystal.

Output
ΔE to the lowest computed polymorph, eV per formula unit: 0.27
Space group: No. 123
Density, kg/m³: 9293
DFT total energy, Ry per atom: -0.6088

a = 3.9590 Å, b = 3.9590 Å, c = 3.9557 Å
α = 90.00°, β = 90.00°, γ = 90.00°
Closest atoms and distances in Å follow each position.
Fractional coordinates of all 5 atoms:
Ru: 0.0000 0.5000 0.0000  2 H 1.98
Ru: 0.5000 0.0000 0.0000  2 H 1.98
Nb: 0.0000 0.0000 0.5000  2 H 1.98
H: 0.0000 0.0000 0.0000  2 Nb 1.98, 4 Ru 1.98
V: 0.5000 0.5000 0.5000  8 Ru 2.80, 4 Nb 2.80

***

Record 4
## NbHRu2W (GGA-PBE)

Data for a relaxed NbHRu2W crystal.

Output
ΔE to the lowest computed polymorph, eV per formula unit: 0.07
Space group: No. 123
Density, kg/m³: 12455
DFT total energy, Ry per atom: -0.6616

a = 3.9961 Å, b = 3.9961 Å, c = 4.0068 Å
α = 90.00°, β = 90.00°, γ = 90.00°
Closest atoms and distances in Å follow each position.
Fractional coordinates of all 5 atoms:
Ru: 0.0000 0.5000 0.0000  2 H 2.00
Ru: 0.5000 0.0000 0.0000  2 H 2.00
Nb: 0.5000 0.5000 0.5000  4 W 2.83, 8 Ru 2.83
W: 0.0000 0.0000 0.5000  2 H 2.00
H: 0.0000 0.0000 0.0000  4 Ru 2.00, 2 W 2.00

***

Record 5
## NbHRu2W (GGA-PBE)

Data for a relaxed NbHRu2W crystal.

Output
ΔE to the lowest computed polymorph, eV per formula unit: 0.00
Space group: No. 123
Density, kg/m³: 12472
DFT total energy, Ry per atom: -0.6627

a = 3.9858 Å, b = 3.9858 Å, c = 4.0218 Å
α = 90.00°, β = 90.00°, γ = 90.00°
Closest atoms and distances in Å follow each position.
Fractional coordinates of all 5 atoms:
Ru: 0.0000 0.5000 0.0000  2 H 1.99
Ru: 0.5000 0.0000 0.0000  2 H 1.99
Nb: 0.0000 0.0000 0.5000  2 H 2.01
W: 0.5000 0.5000 0.5000  4 Nb 2.82, 8 Ru 2.83
H: 0.0000 0.0000 0.0000  4 Ru 1.99, 2 Nb 2.01

***

Record 6
## NbZnHRu2 (GGA-PBE)

Data for a relaxed NbZnHRu2 crystal.

Output
Space group: No. 123
Density, kg/m³: 9753
DFT total energy, Ry per atom: -0.4933

a = 4.1341 Å, b = 4.1341 Å, c = 3.6008 Å
α = 90.00°, β = 90.00°, γ = 90.00°
Closest atoms and distances in Å follow each position.
Fractional coordinates of all 5 atoms:
Ru: 0.0000 0.5000 0.0000  2 H 2.07
Ru: 0.5000 0.0000 0.0000  2 H 2.07
Nb: 0.5000 0.5000 0.5000  8 Ru 2.74, 4 Zn 2.92
Zn: 0.0000 0.0000 0.5000  2 H 1.80
H: 0.0000 0.0000 0.0000  2 Zn 1.80

***

Record 7
## NbZnHRu2 (GGA-PBE)

Data for a relaxed NbZnHRu2 crystal.

Output
Space group: No. 123
Density, kg/m³: 9639
DFT total energy, Ry per atom: -0.4934

a = 4.0243 Å, b = 4.0243 Å, c = 3.8450 Å
α = 90.00°, β = 90.00°, γ = 90.00°
Closest atoms and distances in Å follow each position.
Fractional coordinates of all 5 atoms:
Ru: 0.0000 0.5000 0.0000  2 H 2.01
Ru: 0.5000 0.0000 0.0000  2 H 2.01
Nb: 0.0000 0.0000 0.5000  2 H 1.92
Zn: 0.5000 0.5000 0.5000  8 Ru 2.78, 4 Nb 2.85
H: 0.0000 0.0000 0.0000  2 Nb 1.92, 4 Ru 2.01

***

Record 8
## Nb2ZnHRu (GGA-PBE)

Data for a relaxed Nb2ZnHRu crystal.

Output
ΔE to the lowest computed polymorph, eV per formula unit: 0.32
Space group: No. 123
Density, kg/m³: 8833
DFT total energy, Ry per atom: -0.5050

a = 4.0523 Å, b = 4.0523 Å, c = 4.0444 Å
α = 90.00°, β = 90.00°, γ = 90.00°
Closest atoms and distances in Å follow each position.
Fractional coordinates of all 5 atoms:
Ru: 0.5000 0.5000 0.5000  8 Nb 2.86, 4 Zn 2.87
Nb: 0.0000 0.5000 0.0000  2 H 2.03
Nb: 0.5000 0.0000 0.0000  2 H 2.03
Zn: 0.0000 0.0000 0.5000  2 H 2.02
H: 0.0000 0.0000 0.0000  2 Zn 2.02, 4 Nb 2.03

***

Record 9
## Nb2ZnHRu (GGA-PBE)

Data for a relaxed Nb2ZnHRu crystal.

Output
ΔE to the lowest computed polymorph, eV per formula unit: 0.00
Space group: No. 123
Density, kg/m³: 8795
DFT total energy, Ry per atom: -0.5097

a = 4.1088 Å, b = 4.1088 Å, c = 3.9511 Å
α = 90.00°, β = 90.00°, γ = 90.00°
Closest atoms and distances in Å follow each position.
Fractional coordinates of all 5 atoms:
Ru: 0.0000 0.0000 0.5000  2 H 1.98
Nb: 0.0000 0.5000 0.0000  2 H 2.05
Nb: 0.5000 0.0000 0.0000  2 H 2.05
Zn: 0.5000 0.5000 0.5000  8 Nb 2.85, 4 Ru 2.91
H: 0.0000 0.0000 0.0000  2 Ru 1.98, 4 Nb 2.05

***

Record 10
## ZrNbH2Ru (GGA-PBE)

Data for a relaxed ZrNbH2Ru crystal.

Output
Space group: No. 123
Density, kg/m³: 6395
DFT total energy, Ry per atom: -0.4613

a = 3.6530 Å, b = 3.6530 Å, c = 5.5891 Å
α = 90.00°, β = 90.00°, γ = 90.00°
Closest atoms and distances in Å follow each position.
Fractional coordinates of all 5 atoms:
Ru: 0.5000 0.5000 0.5000  4 Zr 2.58
Nb: 0.0000 0.0000 0.0000  4 H 1.83
Zr: 0.0000 0.0000 0.5000  4 Ru 2.58, 2 Nb 2.79
H: 0.0000 0.5000 0.0000  2 Nb 1.83
H: 0.5000 0.0000 0.0000  2 Nb 1.83

***

Record 11
## Nb2HS (GGA-PBE)

Data for a relaxed Nb2HS crystal.

Output
ΔE to the lowest computed polymorph, eV per formula unit: 0.00
Space group: No. 122
Density, kg/m³: 5970
DFT total energy, Ry per atom: -0.5172

a = 4.9714 Å, b = 4.9714 Å, c = 6.0520 Å
α = 65.75°, β = 65.75°, γ = 90.00°
Closest atoms and distances in Å follow each position.
Fractional coordinates of all 8 atoms:
H: 0.5000 0.5000 0.0000  4 Nb 1.95
H: 0.2500 0.7500 0.5000  4 Nb 1.95
Nb: 0.5497 0.1250 0.2500  2 H 1.95
Nb: 0.2003 0.6250 0.2500  2 H 1.95
Nb: 0.3750 0.4503 0.7500  2 H 1.95
Nb: 0.8750 0.7997 0.7500  2 H 1.95
S: 0.0000 0.0000 0.0000  4 Nb 2.38
S: 0.7500 0.2500 0.5000  4 Nb 2.38

***

Record 12
## NbHS2 (GGA-PBE)

Data for a relaxed NbHS2 crystal.

Output
ΔE to the lowest computed polymorph, eV per formula unit: 0.42
Space group: No. 11
Density, kg/m³: 3800
DFT total energy, Ry per atom: -0.4522

a = 3.4031 Å, b = 6.2120 Å, c = 6.7920 Å
α = 105.84°, β = 90.00°, γ = 90.00°
Closest atoms and distances in Å follow each position.
Fractional coordinates of all 8 atoms:
Nb: 0.4225 0.3066 0.9886  6 S 2.46-2.66
Nb: 0.9225 0.6934 0.0114  6 S 2.46-2.66
H: 0.9225 0.2272 0.3973  1 S 1.39
H: 0.4225 0.7728 0.6027  1 S 1.39
S: 0.4225 0.6583 0.2650  1 H 2.21, 3 Nb 2.46-2.47
S: 0.4226 0.8669 0.8136  1 H 1.39
S: 0.9226 0.1331 0.1864  1 H 1.39
S: 0.9225 0.3417 0.7350  1 H 2.21, 3 Nb 2.46-2.47

***

Record 13
## Nb3HS (GGA-PBE)

Data for a relaxed Nb3HS crystal.

Output
ΔE to the lowest computed polymorph, eV per formula unit: 0.00
Space group: No. 221
Density, kg/m³: 7335
DFT total energy, Ry per atom: -0.5488

a = 4.1328 Å, b = 4.1328 Å, c = 4.1328 Å
α = 90.00°, β = 90.00°, γ = 90.00°
Closest atoms and distances in Å follow each position.
Fractional coordinates of all 5 atoms:
H: 0.0000 0.0000 0.0000  6 Nb 2.07
Nb: 0.0000 0.5000 0.0000  2 H 2.07
Nb: 0.0000 0.0000 0.5000  2 H 2.07
Nb: 0.5000 0.0000 0.0000  2 H 2.07
S: 0.5000 0.5000 0.5000  12 Nb 2.92

***

Record 14
## Nb4HS3 (GGA-PBE)

Data for a relaxed Nb4HS3 crystal.

Output
Space group: No. 31
Density, kg/m³: 5793
DFT total energy, Ry per atom: -0.5587

a = 4.5907 Å, b = 6.0856 Å, c = 9.6215 Å
α = 90.00°, β = 90.00°, γ = 90.00°
Closest atoms and distances in Å follow each position.
Fractional coordinates of all 16 atoms:
Nb: 0.0663 0.8569 0.0000  1 H 1.91
Nb: 0.5326 0.1802 0.0000  1 H 2.07
Nb: 0.0703 0.1326 0.2875  4 S 2.48-2.55, 1 H 2.78
Nb: 0.5703 0.8674 0.2125  4 S 2.48-2.55, 1 H 2.78
Nb: 0.0326 0.8198 0.5000  1 H 2.07
Nb: 0.5663 0.1431 0.5000  1 H 1.91
Nb: 0.5703 0.8674 0.7875  4 S 2.48-2.55, 1 H 2.78
Nb: 0.0703 0.1326 0.7125  4 S 2.48-2.55, 1 H 2.78
H: 0.0821 0.1701 0.0000  2 Nb 1.91-2.07
H: 0.5821 0.8299 0.5000  2 Nb 1.91-2.07
S: 0.5554 0.6176 0.0000  5 Nb 2.55-2.76
S: 0.0691 0.7211 0.2481  5 Nb 2.48-2.53
S: 0.5691 0.2789 0.2519  5 Nb 2.48-2.53
S: 0.0554 0.3824 0.5000  5 Nb 2.55-2.76
S: 0.5691 0.2789 0.7481  5 Nb 2.48-2.53
S: 0.0691 0.7211 0.7519  5 Nb 2.48-2.53

***

Record 15
## Nb2HS (GGA-PBE)

Data for a relaxed Nb2HS crystal.

Output
ΔE to the lowest computed polymorph, eV per formula unit: 0.21
Space group: No. 166
Density, kg/m³: 5562
DFT total energy, Ry per atom: -0.5134

a = 3.5129 Å, b = 3.5129 Å, c = 6.4426 Å
α = 74.18°, β = 74.18°, γ = 60.00°
Closest atoms and distances in Å follow each position.
Fractional coordinates of all 4 atoms:
H: 0.0000 0.0000 0.0000  2 Nb 1.81
Nb: 0.0986 0.0986 0.7041  1 H 1.81
Nb: 0.9014 0.9014 0.2959  1 H 1.81
S: 0.5000 0.5000 0.5000  6 Nb 2.38

***

Record 16
## Nb2HS3 (GGA-PBE)

Data for a relaxed Nb2HS3 crystal.

Output
Space group: No. 12
Density, kg/m³: 4282
DFT total energy, Ry per atom: -0.4949

a = 3.3268 Å, b = 8.1763 Å, c = 8.7924 Å
α = 71.06°, β = 79.09°, γ = 78.26°
Closest atoms and distances in Å follow each position.
Fractional coordinates of all 12 atoms:
Nb: 0.8469 0.4820 0.8241  2 H 2.09
Nb: 0.1531 0.5180 0.1759  2 H 2.09
Nb: 0.5702 0.3211 0.5386  2 H 2.01-2.05
Nb: 0.4298 0.6789 0.4614  2 H 2.01-2.05
H: 0.4169 0.4899 0.6762  4 Nb 2.01-2.09
H: 0.5831 0.5101 0.3238  4 Nb 2.01-2.09
S: 0.0283 0.1908 0.7526  3 Nb 2.47-2.58
S: 0.9717 0.8092 0.2474  3 Nb 2.47-2.58
S: 0.6597 0.6943 0.9862  3 Nb 2.46-2.50
S: 0.3403 0.3057 0.0138  3 Nb 2.46-2.50
S: 0.7973 0.7843 0.6211  3 Nb 2.46-2.53
S: 0.2027 0.2157 0.3789  3 Nb 2.46-2.53

***

Record 17
## Nb4HS2 (GGA-PBE)

Data for a relaxed Nb4HS2 crystal.

Output
Space group: No. 121
Density, kg/m³: 6128
DFT total energy, Ry per atom: -0.5630

a = 4.5276 Å, b = 4.5276 Å, c = 6.6021 Å
α = 110.05°, β = 110.05°, γ = 90.00°
Closest atoms and distances in Å follow each position.
Fractional coordinates of all 7 atoms:
Nb: 0.8633 0.3106 0.1739  1 H 2.03
Nb: 0.3105 0.8633 0.1739  1 H 2.03
Nb: 0.6895 0.6894 0.8261  1 H 2.03
Nb: 0.1367 0.1367 0.8261  1 H 2.03
H: 0.5000 0.5000 0.0000  4 Nb 2.03
S: 0.7500 0.2500 0.5000  4 Nb 2.48
S: 0.2500 0.7500 0.5000  4 Nb 2.48

***

Record 18
## NbHS2 (GGA-PBE)

Data for a relaxed NbHS2 crystal.

Output
ΔE to the lowest computed polymorph, eV per formula unit: 3.75
Space group: No. 225
Density, kg/m³: 4771
DFT total energy, Ry per atom: -0.3909

a = 4.2689 Å, b = 4.2689 Å, c = 4.2689 Å
α = 60.00°, β = 60.00°, γ = 60.00°
Closest atoms and distances in Å follow each position.
Fractional coordinates of all 4 atoms:
H: 0.0000 0.0000 0.0000  8 S 2.61
Nb: 0.5000 0.5000 0.5000  8 S 2.61
S: 0.2500 0.2500 0.2500  4 Nb 2.61, 4 H 2.61
S: 0.7500 0.7500 0.7500  4 Nb 2.61, 4 H 2.61

***

Record 19
## Nb2HS (GGA-PBE)

Data for a relaxed Nb2HS crystal.

Output
ΔE to the lowest computed polymorph, eV per formula unit: 0.80
Space group: No. 225
Density, kg/m³: 6922
DFT total energy, Ry per atom: -0.5025

a = 4.2033 Å, b = 4.2033 Å, c = 4.2033 Å
α = 60.00°, β = 60.00°, γ = 60.00°
Closest atoms and distances in Å follow each position.
Fractional coordinates of all 4 atoms:
H: 0.0000 0.0000 0.0000  8 Nb 2.57
Nb: 0.2500 0.2500 0.2500  4 S 2.57, 4 H 2.57
Nb: 0.7500 0.7500 0.7500  4 S 2.57, 4 H 2.57
S: 0.5000 0.5000 0.5000  8 Nb 2.57

***

Record 20
## Nb4H3S8 (GGA-PBE)

Data for a relaxed Nb4H3S8 crystal.

Output
Space group: No. 187
Density, kg/m³: 3926
DFT total energy, Ry per atom: -0.4728

a = 3.3500 Å, b = 3.3500 Å, c = 27.4719 Å
α = 90.00°, β = 90.00°, γ = 120.00°
Closest atoms and distances in Å follow each position.
Fractional coordinates of all 15 atoms:
Nb: 0.6667 0.3333 0.0000  6 S 2.49
Nb: 0.6667 0.3333 0.5000  3 H 1.93
Nb: 0.3333 0.6667 0.2492  3 H 1.93
Nb: 0.3333 0.6667 0.7508  3 H 1.93
H: 0.0000 0.0000 0.5000  3 Nb 1.93
H: 0.0000 0.0000 0.2492  3 Nb 1.93
H: 0.0000 0.0000 0.7508  3 Nb 1.93
S: 0.6667 0.3333 0.3091  3 H 2.54, 3 Nb 2.54
S: 0.6667 0.3333 0.8108  3 Nb 2.54, 3 H 2.54
S: 0.3333 0.6667 0.9429  3 Nb 2.49
S: 0.3333 0.6667 0.4401  3 H 2.54, 3 Nb 2.54
S: 0.3333 0.6667 0.0571  3 Nb 2.49
S: 0.3333 0.6667 0.5599  3 H 2.54, 3 Nb 2.54
S: 0.6667 0.3333 0.1892  3 Nb 2.54, 3 H 2.54
S: 0.6667 0.3333 0.6909  3 H 2.54, 3 Nb 2.54